# 1
! Cs3Cu2SnI9, relaxed, DFT PBE; values from VASP
! **Electronic total energy**: -2.652 eV per atom
! **Space-group type**: P-3m1, No. 164
! **Magnetic moment**: 0.0000 μB/atom
&SYSTEM
  ibrav = 0, nat = 15, ntyp = 4
/
ATOMIC_SPECIES
Cs 132.91 Cs.upf
Cu 63.55 Cu.upf
Sn 118.71 Sn.upf
I 126.90 I.upf
ATOMIC_POSITIONS angstrom
Cs 0.000 4.758 6.832
Cs 0.000 0.000 0.000
Cs 4.121 2.379 3.329
Cu 0.000 4.758 1.467
Cu 4.121 2.379 8.693
Sn 0.000 0.000 5.080
I 6.103 1.234 6.844
I 4.121 4.668 6.844
I 2.138 1.234 6.844
I 1.983 5.903 3.317
I 0.000 2.469 3.317
I -1.983 5.903 3.317
I 4.121 0.000 0.000
I -2.060 3.569 0.000
I 2.060 3.569 0.000
CELL_PARAMETERS angstrom
8.241 0.000 0.000
-4.121 7.137 0.000
0.000 0.000 10.160

=====

# 2
! Pm2InPb3, relaxed, DFT PBE; values from VASP
! **Electronic total energy**: -4.069 eV per atom
! **Energy above the most stable polymorph in this dataset**: 0.2940 eV per atom
! **Space-group type**: Immm, No. 71
! **Magnetic moment**: 0.0000 μB/atom
&SYSTEM
  ibrav = 0, nat = 6, ntyp = 3
/
ATOMIC_SPECIES
Pm 145.00 Pm.upf
In 114.82 In.upf
Pb 207.20 Pb.upf
ATOMIC_POSITIONS angstrom
Pm -4.420 0.093 0.448
Pm -3.723 -2.958 4.231
In 0.000 0.000 0.000
Pb -2.150 -0.139 -1.989
Pb -6.320 -1.417 2.607
Pb -1.823 -1.448 2.072
CELL_PARAMETERS angstrom
-1.218 3.105 1.099
-4.300 -0.279 -3.979
-2.625 -5.691 7.559

=====

# 3
! Ce3Pu3Au5, relaxed, DFT PBE; values from VASP
! **Electronic total energy**: -7.091 eV per atom
! **Space-group type**: P-62m, No. 189
! **Magnetic moment**: 1.7873 μB/atom
&SYSTEM
  ibrav = 0, nat = 11, ntyp = 3
/
ATOMIC_SPECIES
Ce 140.12 Ce.upf
Pu 244.00 Pu.upf
Au 196.97 Au.upf
ATOMIC_POSITIONS angstrom
Ce -4.502 1.706 -3.008
Ce 0.916 -5.539 0.844
Ce -2.467 -2.636 -1.488
Pu -7.141 2.414 -2.694
Pu -2.058 -1.127 0.774
Pu 0.319 -7.562 2.610
Au -5.493 -1.131 -1.463
Au -2.445 -5.208 0.705
Au -3.603 1.073 -0.331
Au -4.876 -4.139 -0.926
Au -0.401 -3.209 1.946
CELL_PARAMETERS angstrom
-1.885 0.129 2.894
-7.599 2.880 -5.077
1.546 -9.349 1.425

=====

# 4
! RbAg4F8, relaxed, DFT PBE; values from VASP
! **Electronic total energy**: -3.428 eV per atom
! **Energy above the most stable polymorph in this dataset**: 0.0000 eV per atom
! **Space-group type**: R-3m, No. 166
! **Magnetic moment**: 0.2386 μB/atom
&SYSTEM
  ibrav = 0, nat = 13, ntyp = 3
/
ATOMIC_SPECIES
Rb 85.47 Rb.upf
Ag 107.87 Ag.upf
F 19.00 F.upf
ATOMIC_POSITIONS angstrom
Rb 0.048 -5.982 6.504
Ag -1.236 -3.207 0.999
Ag -2.150 -3.789 4.411
Ag -0.914 -0.582 3.411
Ag 0.000 0.000 0.000
F 1.796 -5.937 8.809
F -1.386 -3.470 6.548
F -1.700 -6.027 4.199
F -2.590 -6.594 7.521
F 0.640 -9.154 9.877
F -0.544 -2.810 3.131
F 2.686 -5.370 5.486
F 1.483 -8.494 6.460
CELL_PARAMETERS angstrom
-1.829 -1.164 6.823
-2.472 -6.414 1.999
4.397 -4.385 4.186

=====

# 5
! CuRh3, relaxed, DFT PBE; values from VASP
! **Electronic total energy**: -6.455 eV per atom
! **Space-group type**: Cmmm, No. 65
! **Magnetic moment**: 0.0959 μB/atom
&SYSTEM
  ibrav = 0, nat = 4, ntyp = 2
/
ATOMIC_SPECIES
Rh 102.91 Rh.upf
Cu 63.55 Cu.upf
ATOMIC_POSITIONS angstrom
Rh -0.790 2.195 1.352
Rh 2.332 0.005 1.352
Rh 1.542 2.199 0.000
Cu 0.000 0.000 0.000
CELL_PARAMETERS angstrom
4.665 0.009 0.000
-1.580 4.389 0.000
0.000 0.000 2.703

=====

# 6
! Ce4Ge2I5, relaxed, DFT PBE; values from VASP
! **Electronic total energy**: -4.325 eV per atom
! **Space-group type**: C2/m, No. 12
! **Magnetic moment**: 0.1888 μB/atom
&SYSTEM
  ibrav = 0, nat = 11, ntyp = 3
/
ATOMIC_SPECIES
Ce 140.12 Ce.upf
Ge 72.64 Ge.upf
I 126.90 I.upf
ATOMIC_POSITIONS angstrom
Ce 2.030 4.165 3.203
Ce 0.000 6.260 0.630
Ce 0.000 3.398 10.410
Ce 2.030 1.303 12.983
Ge 0.000 3.718 7.470
Ge 2.030 3.845 6.142
I 0.000 6.528 3.807
I 2.030 1.035 9.806
I 0.000 1.730 3.321
I 2.030 0.000 0.000
I 2.030 5.833 10.291
CELL_PARAMETERS angstrom
4.061 0.000 0.000
0.000 8.878 0.891
-2.030 -1.315 12.722

=====

# 7
! AcAlHg3, relaxed, DFT PBE; values from VASP
! **Electronic total energy**: -2.086 eV per atom
! **Energy above the most stable polymorph in this dataset**: 0.0000 eV per atom
! **Space-group type**: Cm, No. 8
! **Magnetic moment**: 0.0000 μB/atom
&SYSTEM
  ibrav = 0, nat = 5, ntyp = 3
/
ATOMIC_SPECIES
Ac 227.00 Ac.upf
Al 26.98 Al.upf
Hg 200.59 Hg.upf
ATOMIC_POSITIONS angstrom
Ac 1.954 1.193 6.837
Al -0.147 3.941 5.583
Hg 2.510 4.382 5.237
Hg 0.514 2.126 3.679
Hg 3.323 2.740 2.893
CELL_PARAMETERS angstrom
4.539 -0.001 1.556
-0.541 4.506 1.560
0.270 0.300 6.525

=====

# 8
! CePm2DyHo, relaxed, DFT PBE; values from VASP
! **Electronic total energy**: -4.640 eV per atom
! **Space-group type**: P2/c, No. 13
! **Magnetic moment**: 0.0846 μB/atom
&SYSTEM
  ibrav = 0, nat = 10, ntyp = 4
/
ATOMIC_SPECIES
Ce 140.12 Ce.upf
Pm 145.00 Pm.upf
Dy 162.50 Dy.upf
Ho 164.93 Ho.upf
ATOMIC_POSITIONS angstrom
Ce 0.000 0.000 0.000
Ce 0.897 2.472 1.563
Pm -5.788 5.130 3.984
Pm -3.958 6.112 1.599
Pm -4.330 1.074 3.578
Pm -2.500 2.055 1.192
Dy -3.593 3.953 -1.202
Dy -4.695 3.233 6.378
Ho -1.366 3.263 4.514
Ho -6.922 3.923 0.663
CELL_PARAMETERS angstrom
-6.251 4.205 -3.068
-3.832 -1.964 5.118
1.795 4.945 3.127

=====

# 9
! YIn2SnS4, relaxed, DFT PBE; values from VASP
! **Electronic total energy**: -4.914 eV per atom
! **Space-group type**: P2/m, No. 10
! **Magnetic moment**: 0.0000 μB/atom
&SYSTEM
  ibrav = 0, nat = 8, ntyp = 4
/
ATOMIC_SPECIES
Y 88.91 Y.upf
In 114.82 In.upf
Sn 118.71 Sn.upf
S 32.06 S.upf
ATOMIC_POSITIONS angstrom
Y 0.000 4.892 3.271
In 0.000 2.489 6.772
In 2.003 1.244 3.386
Sn 2.003 3.648 -0.115
S 0.000 7.204 4.816
S 4.005 2.581 1.727
S 2.003 5.939 1.709
S 2.003 3.846 4.834
CELL_PARAMETERS angstrom
4.005 0.000 0.000
0.000 7.296 -0.229
0.000 2.489 6.772

=====

# 10
! TlGaPb, relaxed, DFT PBE; values from VASP
! **Electronic total energy**: -2.969 eV per atom
! **Energy above the most stable polymorph in this dataset**: 0.0300 eV per atom
! **Space-group type**: I4mm, No. 107
! **Magnetic moment**: 0.0000 μB/atom
&SYSTEM
  ibrav = 0, nat = 3, ntyp = 3
/
ATOMIC_SPECIES
Pb 207.20 Pb.upf
Tl 204.38 Tl.upf
Ga 69.72 Ga.upf
ATOMIC_POSITIONS angstrom
Pb 0.000 0.000 3.782
Tl 0.000 0.000 0.155
Ga 1.862 1.862 2.029
CELL_PARAMETERS angstrom
3.723 0.000 0.000
0.000 3.723 0.000
-1.862 -1.862 5.966

=====

# 11
! Pr4Sm3Er5, relaxed, DFT PBE; values from VASP
! **Electronic total energy**: -4.454 eV per atom
! **Space-group type**: C2/m, No. 12
! **Magnetic moment**: 0.0232 μB/atom
&SYSTEM
  ibrav = 0, nat = 12, ntyp = 3
/
ATOMIC_SPECIES
Pr 140.91 Pr.upf
Sm 150.36 Sm.upf
Er 167.26 Er.upf
ATOMIC_POSITIONS angstrom
Pr -2.671 -4.821 2.873
Pr 2.435 -1.505 5.645
Pr -1.378 -10.884 3.177
Pr 3.728 -7.568 5.949
Sm -0.834 -7.552 1.913
Sm 2.150 -4.462 2.585
Sm 1.891 -4.838 6.909
Er 1.319 -10.443 5.992
Er 0.528 -6.195 4.411
Er -0.389 -4.502 0.292
Er 1.445 -7.887 8.530
Er -0.262 -1.947 2.830
CELL_PARAMETERS angstrom
-3.243 -3.466 3.652
-0.602 -7.978 -3.196
4.901 -0.945 8.366

=====

# 12
! BaGaN, relaxed, DFT PBE; values from VASP
! **Electronic total energy**: -4.745 eV per atom
! **Space-group type**: P4mm, No. 99
! **Magnetic moment**: 0.0000 μB/atom
&SYSTEM
  ibrav = 0, nat = 3, ntyp = 3
/
ATOMIC_SPECIES
Ba 137.33 Ba.upf
Ga 69.72 Ga.upf
N 14.01 N.upf
ATOMIC_POSITIONS angstrom
Ba 1.871 1.871 0.822
Ga 0.000 0.000 3.541
N 0.000 0.000 1.745
CELL_PARAMETERS angstrom
3.742 0.000 0.000
0.000 3.742 0.000
0.000 0.000 5.723

=====

# 13
! ErSc2Te, relaxed, DFT PBE; values from VASP
! **Electronic total energy**: -5.519 eV per atom
! **Energy above the most stable polymorph in this dataset**: 0.2055 eV per atom
! **Space-group type**: R3m, No. 160
! **Magnetic moment**: 0.0004 μB/atom
&SYSTEM
  ibrav = 0, nat = 4, ntyp = 3
/
ATOMIC_SPECIES
Er 167.26 Er.upf
Sc 44.96 Sc.upf
Te 127.60 Te.upf
ATOMIC_POSITIONS angstrom
Er 2.523 1.236 5.600
Sc 3.585 4.358 4.874
Sc 1.111 0.375 2.665
Te 0.359 -2.248 3.668
CELL_PARAMETERS angstrom
-1.368 -0.998 3.332
1.902 -2.382 2.164
4.519 5.861 5.708

=====

# 14
! AcDyHo3Er, relaxed, DFT PBE; values from VASP
! **Electronic total energy**: -4.299 eV per atom
! **Space-group type**: C2/m, No. 12
! **Magnetic moment**: 0.0000 μB/atom
&SYSTEM
  ibrav = 0, nat = 12, ntyp = 4
/
ATOMIC_SPECIES
Ac 227.00 Ac.upf
Dy 162.50 Dy.upf
Ho 164.93 Ho.upf
Er 167.26 Er.upf
ATOMIC_POSITIONS angstrom
Ac 0.000 2.305 11.476
Ac 2.400 6.298 2.437
Dy 0.000 0.367 3.811
Dy 2.400 8.236 10.103
Ho 2.400 5.354 6.212
Ho 2.400 4.664 9.767
Ho 0.000 7.459 4.837
Ho 0.000 3.939 4.147
Ho 2.400 1.144 9.077
Ho 0.000 3.250 7.702
Er 2.400 1.910 5.631
Er 0.000 6.694 8.283
CELL_PARAMETERS angstrom
4.800 0.000 0.000
-2.400 8.286 3.066
0.000 0.318 10.847

=====

# 15
! Pr2Ho2Pt15, relaxed, DFT PBE; values from VASP
! **Electronic total energy**: -6.490 eV per atom
! **Space-group type**: R-3m, No. 166
! **Magnetic moment**: 0.0000 μB/atom
&SYSTEM
  ibrav = 0, nat = 19, ntyp = 3
/
ATOMIC_SPECIES
Pr 140.91 Pr.upf
Ho 164.93 Ho.upf
Pt 195.08 Pt.upf
ATOMIC_POSITIONS angstrom
Pr 3.202 2.811 2.504
Pr 5.774 5.068 4.516
Ho 0.955 0.838 0.747
Ho 8.022 7.041 6.274
Pt 3.558 0.003 0.003
Pt 0.465 0.408 3.504
Pt 0.465 3.528 0.003
Pt 0.930 5.122 2.176
Pt 5.200 2.191 0.006
Pt 2.847 0.565 4.839
Pt 2.847 4.872 0.006
Pt 5.200 0.257 2.176
Pt 0.930 2.750 4.839
Pt 2.345 5.145 4.584
Pt 5.405 4.744 1.120
Pt 5.405 1.657 4.584
Pt 6.632 2.734 2.436
Pt 3.571 3.134 5.900
Pt 3.571 6.221 2.436
CELL_PARAMETERS angstrom
7.117 0.007 0.006
0.930 7.056 0.006
0.930 0.816 7.008

=====

# 16
! AlCdN3, relaxed, DFT PBE; values from VASP
! **Electronic total energy**: -4.971 eV per atom
! **Space-group type**: Pm-3m, No. 221
! **Magnetic moment**: 0.4187 μB/atom
&SYSTEM
  ibrav = 0, nat = 5, ntyp = 3
/
ATOMIC_SPECIES
N 14.01 N.upf
Al 26.98 Al.upf
Cd 112.41 Cd.upf
ATOMIC_POSITIONS angstrom
N 0.000 1.910 0.000
N 0.000 0.000 1.910
N 1.910 0.000 0.000
Al 0.000 0.000 0.000
Cd 1.910 1.910 1.910
CELL_PARAMETERS angstrom
3.820 0.000 0.000
0.000 3.820 0.000
0.000 0.000 3.820

=====

# 17
! Pa2ZnPt, relaxed, DFT PBE; values from VASP
! **Electronic total energy**: -6.508 eV per atom
! **Energy above the most stable polymorph in this dataset**: 0.5043 eV per atom
! **Space-group type**: R-3m, No. 166
! **Magnetic moment**: 0.0002 μB/atom
&SYSTEM
  ibrav = 0, nat = 4, ntyp = 3
/
ATOMIC_SPECIES
Zn 65.41 Zn.upf
Pa 231.04 Pa.upf
Pt 195.08 Pt.upf
ATOMIC_POSITIONS angstrom
Zn 3.072 1.774 5.285
Pa 1.536 0.887 7.842
Pa 4.609 2.661 2.728
Pt 0.000 0.000 0.000
CELL_PARAMETERS angstrom
3.072 0.000 0.000
1.536 2.661 0.000
1.536 0.887 10.571

=====

# 18
! LaNdTh2P4, relaxed, DFT PBE; values from VASP
! **Electronic total energy**: -7.346 eV per atom
! **Space-group type**: P2/m, No. 10
! **Magnetic moment**: 0.0000 μB/atom
&SYSTEM
  ibrav = 0, nat = 8, ntyp = 4
/
ATOMIC_SPECIES
La 138.91 La.upf
Nd 144.24 Nd.upf
Th 232.04 Th.upf
P 30.97 P.upf
ATOMIC_POSITIONS angstrom
La 2.526 -2.527 -2.170
Nd 4.156 -3.968 1.400
Th 1.654 -5.549 4.347
Th 0.025 -4.108 0.777
P 6.281 -5.947 2.068
P 0.426 -4.655 -2.061
P 4.648 -4.523 -1.483
P 2.059 -6.078 1.490
CELL_PARAMETERS angstrom
-1.605 -2.666 -2.793
6.657 -2.387 -1.547
1.654 -5.549 4.347

=====

# 19
! Li3Mn, relaxed, DFT PBE; values from VASP
! **Electronic total energy**: -3.458 eV per atom
! **Space-group type**: Imm2, No. 44
! **Magnetic moment**: 0.9646 μB/atom
&SYSTEM
  ibrav = 0, nat = 4, ntyp = 2
/
ATOMIC_SPECIES
Li 6.94 Li.upf
Mn 54.94 Mn.upf
ATOMIC_POSITIONS angstrom
Li 2.808 -0.087 2.418
Li -1.225 -2.528 2.418
Li 0.059 -0.097 1.645
Mn 1.567 -2.588 1.652
CELL_PARAMETERS angstrom
5.580 -0.012 0.001
2.575 4.950 -0.001
-3.265 -3.810 2.440

=====

# 20
! Cu2AgPt9, relaxed, DFT PBE; values from VASP
! **Electronic total energy**: -5.512 eV per atom
! **Space-group type**: P4/mmm, No. 123
! **Magnetic moment**: 0.0000 μB/atom
&SYSTEM
  ibrav = 0, nat = 12, ntyp = 3
/
ATOMIC_SPECIES
Cu 63.55 Cu.upf
Ag 107.87 Ag.upf
Pt 195.08 Pt.upf
ATOMIC_POSITIONS angstrom
Cu 2.423 2.099 2.356
Cu 4.771 4.133 4.638
Ag 0.000 0.000 0.000
Pt -1.923 -0.042 2.015
Pt 0.502 2.059 4.373
Pt 2.845 4.089 6.651
Pt -0.249 2.250 1.735
Pt 2.091 4.278 4.010
Pt 4.432 6.305 6.286
Pt 0.839 -0.116 2.724
Pt 3.180 1.912 4.999
Pt 5.520 3.939 7.275
CELL_PARAMETERS angstrom
-3.011 2.324 1.026
-0.835 -2.408 3.004
7.194 6.232 6.994

=====

# 21
! Pm3BiO6, relaxed, DFT PBE; values from VASP
! **Electronic total energy**: -7.633 eV per atom
! **Space-group type**: R-3, No. 148
! **Magnetic moment**: 0.0000 μB/atom
&SYSTEM
  ibrav = 0, nat = 20, ntyp = 3
/
ATOMIC_SPECIES
Pm 145.00 Pm.upf
Bi 208.98 Bi.upf
O 16.00 O.upf
ATOMIC_POSITIONS angstrom
Pm 2.827 6.413 5.210
Pm 6.350 5.143 3.080
Pm 1.657 3.871 0.433
Pm 5.004 2.936 6.527
Pm 0.311 1.664 3.879
Pm 3.834 0.394 1.749
Bi 0.000 0.000 0.000
Bi 3.330 3.403 3.480
O 2.069 6.280 0.472
O 0.427 6.384 4.745
O 4.019 5.659 3.288
O 6.373 4.731 0.671
O 3.074 4.086 5.731
O 1.090 3.612 2.747
O 5.571 3.195 4.212
O 3.587 2.721 1.229
O 0.287 2.076 6.289
O 2.642 1.148 3.672
O 6.233 0.423 2.215
O 4.592 0.527 6.488
CELL_PARAMETERS angstrom
7.003 -0.019 -0.020
-0.171 7.001 -0.020
-0.171 -0.175 6.999

=====

# 22
! ScNbInTc, relaxed, DFT PBE; values from VASP
! **Electronic total energy**: -7.509 eV per atom
! **Space-group type**: F-43m, No. 216
! **Magnetic moment**: 0.0000 μB/atom
&SYSTEM
  ibrav = 0, nat = 4, ntyp = 4
/
ATOMIC_SPECIES
Sc 44.96 Sc.upf
Nb 92.91 Nb.upf
Tc 98.00 Tc.upf
In 114.82 In.upf
ATOMIC_POSITIONS angstrom
Sc 0.000 0.000 0.000
Nb 4.711 2.720 1.923
Tc 7.067 4.080 2.885
In 2.356 1.360 0.962
CELL_PARAMETERS angstrom
4.711 0.000 0.000
2.356 4.080 0.000
2.356 1.360 3.847

=====

# 23
! PuPaGaPb, relaxed, DFT PBE; values from VASP
! **Electronic total energy**: -7.604 eV per atom
! **Space-group type**: F-43m, No. 216
! **Magnetic moment**: 1.7875 μB/atom
&SYSTEM
  ibrav = 0, nat = 4, ntyp = 4
/
ATOMIC_SPECIES
Pb 207.20 Pb.upf
Pa 231.04 Pa.upf
Ga 69.72 Ga.upf
Pu 244.00 Pu.upf
ATOMIC_POSITIONS angstrom
Pb -2.991 -9.181 0.316
Pa -1.994 -6.121 0.211
Ga -0.997 -3.060 0.105
Pu 0.000 0.000 0.000
CELL_PARAMETERS angstrom
-0.849 -4.340 -2.846
0.896 -4.738 2.099
-4.035 -3.164 1.169

=====

# 24
! LiCdC2O6, relaxed, DFT PBE; values from VASP
! **Electronic total energy**: -6.472 eV per atom
! **Space-group type**: R-3, No. 148
! **Magnetic moment**: 0.1040 μB/atom
&SYSTEM
  ibrav = 0, nat = 10, ntyp = 4
/
ATOMIC_SPECIES
Li 6.94 Li.upf
Cd 112.41 Cd.upf
C 12.01 C.upf
O 16.00 O.upf
ATOMIC_POSITIONS angstrom
Li 4.874 2.814 2.698
Cd 0.000 0.000 0.000
C 7.310 4.221 4.020
C 2.437 1.407 1.377
O 3.150 3.145 4.021
O 5.448 1.155 4.021
O 3.725 1.487 1.375
O 6.597 2.482 1.375
O 4.299 4.472 1.375
O 6.022 4.141 4.021
CELL_PARAMETERS angstrom
4.874 0.000 0.000
2.437 4.221 0.000
2.437 1.407 5.397